Entry from Alexandria via LeMat-Bulk: an optimized crystal structure of LiIrRu2 (PBE-GGA). Values from VASP.

Summary:
D(E_F): 3.418 states/eV per cell
E_tot: -7.194 eV/atom
ΔE to the lowest computed polymorph: 5.3 kJ per mole of atoms
Symmetry: Immm (71)

Structure (Quantum ESPRESSO input):
```
&SYSTEM
  ibrav = 0, nat = 4, ntyp = 3
/
ATOMIC_SPECIES
Ru 101.07 Ru.upf
Li 6.94 Li.upf
Ir 192.22 Ir.upf
ATOMIC_POSITIONS crystal
Ru 0.485 0.485 0.000
Li 0.250 0.750 0.500
Ir 0.750 0.250 0.500
Ru 0.015 0.015 0.000
CELL_PARAMETERS angstrom
-4.258 -2.087 1.397
-1.666 -3.719 -2.799
3.679 1.650 2.860
```

=====

Entry from Alexandria via LeMat-Bulk: an optimized crystal structure of Li3IrRu (PBE-GGA). Values from VASP.

Summary:
D(E_F): 5.160 states/eV per cell
E_tot: -3.674 eV/atom
Symmetry: Pm-3m (221)

Structure (Quantum ESPRESSO input):
```
&SYSTEM
  ibrav = 0, nat = 5, ntyp = 3
/
ATOMIC_SPECIES
Li 6.94 Li.upf
Ir 192.22 Ir.upf
Ru 101.07 Ru.upf
ATOMIC_POSITIONS crystal
Li 0.500 0.000 0.000
Ir 0.000 0.000 0.000
Ru 0.500 0.500 0.500
Li 0.000 0.000 0.500
Li 0.000 0.500 0.000
CELL_PARAMETERS angstrom
4.451 0.000 0.000
0.000 4.451 0.000
0.000 0.000 4.451
```

=====

Entry from Alexandria via LeMat-Bulk: an optimized crystal structure of LiIrRu2 (PBE-GGA). Values from VASP.

Summary:
D(E_F): 3.964 states/eV per cell
E_tot: -7.121 eV/atom
ΔE to the lowest computed polymorph: 12.5 kJ per mole of atoms
Symmetry: F-43m (216)

Structure (Quantum ESPRESSO input):
```
&SYSTEM
  ibrav = 0, nat = 4, ntyp = 3
/
ATOMIC_SPECIES
Li 6.94 Li.upf
Ir 192.22 Ir.upf
Ru 101.07 Ru.upf
ATOMIC_POSITIONS crystal
Li 0.750 0.750 0.750
Ir 0.500 0.500 0.500
Ru 0.000 0.000 0.000
Ru 0.250 0.250 0.250
CELL_PARAMETERS angstrom
-0.931 3.729 -1.819
-3.396 0.339 -2.537
-3.403 2.202 1.285
```

=====

Entry from Alexandria via LeMat-Bulk: an optimized crystal structure of LiIrRu2 (PBE-GGA). Values from VASP.

Summary:
D(E_F): 11.929 states/eV per cell
E_tot: -6.711 eV/atom
ΔE to the lowest computed polymorph: 52.0 kJ per mole of atoms
Symmetry: I-42d (122)

Structure (Quantum ESPRESSO input):
```
&SYSTEM
  ibrav = 0, nat = 8, ntyp = 3
/
ATOMIC_SPECIES
Ru 101.07 Ru.upf
Li 6.94 Li.upf
Ir 192.22 Ir.upf
ATOMIC_POSITIONS crystal
Ru 0.875 0.928 0.750
Li 0.500 0.500 0.000
Li 0.250 0.750 0.500
Ru 0.375 0.322 0.750
Ir 0.750 0.250 0.500
Ru 0.072 0.625 0.250
Ir 0.000 0.000 0.000
Ru 0.678 0.125 0.250
CELL_PARAMETERS angstrom
7.385 0.000 0.000
0.000 7.385 0.000
3.692 3.692 2.417
```

=====

Entry from Alexandria via LeMat-Bulk: an optimized crystal structure of LiIrRu2 (PBE-GGA). Values from VASP.

Summary:
D(E_F): 3.687 states/eV per cell
E_tot: -7.245 eV/atom
ΔE to the lowest computed polymorph: 0.5 kJ per mole of atoms
Symmetry: Pmm2 (25)

Structure (Quantum ESPRESSO input):
```
&SYSTEM
  ibrav = 0, nat = 4, ntyp = 3
/
ATOMIC_SPECIES
Li 6.94 Li.upf
Ir 192.22 Ir.upf
Ru 101.07 Ru.upf
ATOMIC_POSITIONS crystal
Li 0.500 0.500 0.745
Ir 0.000 0.000 0.513
Ru 0.000 0.000 0.998
Ru 0.500 0.500 0.244
CELL_PARAMETERS angstrom
2.715 0.000 0.000
0.000 3.807 0.000
0.000 0.000 5.227
```

=====

Entry from Alexandria via LeMat-Bulk: an optimized crystal structure of Li4IrRu (PBE-GGA). Values from VASP.

Summary:
D(E_F): 3.247 states/eV per cell
E_tot: -4.087 eV/atom
Symmetry: F-43m (216)

Structure (Quantum ESPRESSO input):
```
&SYSTEM
  ibrav = 0, nat = 6, ntyp = 3
/
ATOMIC_SPECIES
Ir 192.22 Ir.upf
Li 6.94 Li.upf
Ru 101.07 Ru.upf
ATOMIC_POSITIONS crystal
Ir 0.000 0.000 0.000
Li 0.374 0.877 0.374
Ru 0.750 0.750 0.750
Li 0.374 0.374 0.374
Li 0.374 0.374 0.877
Li 0.877 0.374 0.374
CELL_PARAMETERS angstrom
3.251 -1.712 2.930
2.812 2.932 2.361
-0.514 0.520 4.642
```

=====

Entry from Alexandria via LeMat-Bulk: an optimized crystal structure of LiIrRu2 (PBE-GGA). Values from VASP.

Summary:
D(E_F): 4.134 states/eV per cell
E_tot: -7.202 eV/atom
ΔE to the lowest computed polymorph: 4.6 kJ per mole of atoms
Symmetry: I4/mmm (139)

Structure (Quantum ESPRESSO input):
```
&SYSTEM
  ibrav = 0, nat = 4, ntyp = 3
/
ATOMIC_SPECIES
Ru 101.07 Ru.upf
Li 6.94 Li.upf
Ir 192.22 Ir.upf
ATOMIC_POSITIONS crystal
Ru 0.000 0.000 0.000
Ru 0.500 0.500 0.000
Li 0.750 0.250 0.500
Ir 0.250 0.750 0.500
CELL_PARAMETERS angstrom
-3.769 -0.607 2.807
-3.594 -2.219 -2.148
4.633 -0.884 0.452
```

=====

Entry from Alexandria via LeMat-Bulk: an optimized crystal structure of LiIrRu2 (PBE-GGA). Values from VASP.

Summary:
D(E_F): 6.015 states/eV per cell
E_tot: -7.089 eV/atom
ΔE to the lowest computed polymorph: 15.5 kJ per mole of atoms
Symmetry: Fm-3m (225)

Structure (Quantum ESPRESSO input):
```
&SYSTEM
  ibrav = 0, nat = 4, ntyp = 3
/
ATOMIC_SPECIES
Li 6.94 Li.upf
Ir 192.22 Ir.upf
Ru 101.07 Ru.upf
ATOMIC_POSITIONS crystal
Li 0.000 0.000 0.000
Ir 0.500 0.500 0.500
Ru 0.750 0.750 0.750
Ru 0.250 0.250 0.250
CELL_PARAMETERS angstrom
0.000 3.009 3.009
3.009 0.000 3.009
3.009 3.009 0.000
```

=====

Entry from Alexandria via LeMat-Bulk: an optimized crystal structure of LiIrRu2 (PBE-GGA). Values from VASP.

Summary:
D(E_F): 4.223 states/eV per cell
E_tot: -7.100 eV/atom
ΔE to the lowest computed polymorph: 14.4 kJ per mole of atoms
Symmetry: P4/mmm (123)

Structure (Quantum ESPRESSO input):
```
&SYSTEM
  ibrav = 0, nat = 4, ntyp = 3
/
ATOMIC_SPECIES
Ru 101.07 Ru.upf
Li 6.94 Li.upf
Ir 192.22 Ir.upf
ATOMIC_POSITIONS crystal
Ru 0.000 0.000 0.500
Li 0.500 0.500 0.750
Ru 0.000 0.000 0.000
Ir 0.500 0.500 0.250
CELL_PARAMETERS angstrom
-2.268 1.283 -0.762
-1.480 -1.755 1.451
0.533 4.496 5.981
```

=====

Entry from Alexandria via LeMat-Bulk: an optimized crystal structure of LiIrRu2 (PBE-GGA). Values from VASP.

Summary:
D(E_F): 4.093 states/eV per cell
E_tot: -7.250 eV/atom
ΔE to the lowest computed polymorph: 0.0 kJ per mole of atoms
Symmetry: Cm (8)

Structure (Quantum ESPRESSO input):
```
&SYSTEM
  ibrav = 0, nat = 4, ntyp = 3
/
ATOMIC_SPECIES
Li 6.94 Li.upf
Ir 192.22 Ir.upf
Ru 101.07 Ru.upf
ATOMIC_POSITIONS crystal
Li 0.247 0.247 0.262
Ir 0.492 0.492 0.483
Ru 0.008 0.008 0.989
Ru 0.753 0.753 0.765
CELL_PARAMETERS angstrom
4.620 0.001 0.000
3.841 2.566 0.000
0.629 0.191 4.620
```

=====

Entry from Alexandria via LeMat-Bulk: an optimized crystal structure of LiIr4Ru (PBE-GGA). Values from VASP.

Summary:
D(E_F): 9.100 states/eV per cell
E_tot: -7.344 eV/atom
Symmetry: F-43m (216)

Structure (Quantum ESPRESSO input):
```
&SYSTEM
  ibrav = 0, nat = 6, ntyp = 3
/
ATOMIC_SPECIES
Ir 192.22 Ir.upf
Ru 101.07 Ru.upf
Li 6.94 Li.upf
ATOMIC_POSITIONS crystal
Ir 0.375 0.375 0.375
Ru 0.000 0.000 0.000
Li 0.750 0.750 0.750
Ir 0.375 0.874 0.375
Ir 0.375 0.375 0.874
Ir 0.874 0.375 0.375
CELL_PARAMETERS angstrom
-3.391 -0.835 3.766
-2.540 3.944 2.089
-5.024 0.581 -0.893
```

=====

Entry from Alexandria via LeMat-Bulk: an optimized crystal structure of LiIrRu2 (PBE-GGA). Values from VASP.

Summary:
D(E_F): 2.755 states/eV per cell
E_tot: -7.200 eV/atom
ΔE to the lowest computed polymorph: 4.8 kJ per mole of atoms
Symmetry: P4mm (99)

Structure (Quantum ESPRESSO input):
```
&SYSTEM
  ibrav = 0, nat = 4, ntyp = 3
/
ATOMIC_SPECIES
Ru 101.07 Ru.upf
Ir 192.22 Ir.upf
Li 6.94 Li.upf
ATOMIC_POSITIONS crystal
Ru 0.500 0.500 0.246
Ir 0.000 0.000 0.512
Ru 0.000 0.000 0.994
Li 0.500 0.500 0.748
CELL_PARAMETERS angstrom
2.768 0.000 0.000
0.000 2.768 0.000
0.000 0.000 6.967
```

=====

So what do the calculations give for formation enthalpy at 0 K? Going down the list: 137.3 1101.7 211.0 620.6 87.0 211.7 129.2 243.0 231.2 81.9 428.4 132.1 meV/atom.